Entry 1:
Crystalline AcBPb at its relaxed geometry, computed with PBE.

Fermi-level density of states: 0.29 states/eV/cell
energy of formation from the pure elements: 0.04 eV/atom
space-group type: Pnma
mass density: 9492 kg/m³

Unit cell a=4.112 b=6.664 c=11.365 alpha=90.00 beta=90.00 gamma=90.00
Fractional positions:
B (0.750, 0.550, 0.835)
Ac (0.750, 0.783, 0.588)
B (0.250, 0.050, 0.665)
Ac (0.250, 0.217, 0.412)
Ac (0.250, 0.283, 0.912)
Pb (0.250, 0.714, 0.338)
Ac (0.750, 0.717, 0.088)
Pb (0.750, 0.286, 0.662)
B (0.250, 0.450, 0.165)
Pb (0.250, 0.786, 0.838)
B (0.750, 0.950, 0.335)
Pb (0.750, 0.214, 0.162)



Entry 2:
Crystalline CaCr3 at its relaxed geometry, computed with PBE.

Fermi-level density of states: 2.97 states/eV/cell
energy of formation from the pure elements: 0.61 eV/atom
space-group type: P2/m
mass density: 4792 kg/m³

Unit cell a=3.627 b=2.889 c=6.745 alpha=74.00 beta=90.00 gamma=90.00
Fractional positions:
Cr (0.500, 0.211, 0.349)
Ca (0.000, 0.000, 0.000)
Cr (0.500, 0.789, 0.651)
Cr (0.000, 0.500, 0.500)



Entry 3:
Crystalline LiHf3Zr at its relaxed geometry, computed with PBE.

Fermi-level density of states: 13.04 states/eV/cell
energy of formation from the pure elements: 0.79 eV/atom
space-group type: Pm-3m
mass density: 9708 kg/m³

Unit cell a=4.768 b=4.768 c=4.768 alpha=90.00 beta=90.00 gamma=90.00
Fractional positions:
Hf (0.000, 0.000, 0.500)
Hf (0.500, 0.000, 0.000)
Li (0.000, 0.000, 0.000)
Zr (0.500, 0.500, 0.500)
Hf (0.000, 0.500, 0.000)



Entry 4:
Crystalline ErTmMgMn at its relaxed geometry, computed with PBE.

Fermi-level density of states: 5.00 states/eV/cell
energy of formation from the pure elements: 0.09 eV/atom
space-group type: F-43m
mass density: 7259 kg/m³

Unit cell a=5.122 b=5.122 c=5.122 alpha=60.00 beta=60.00 gamma=60.00
Each line ends with the local moment (μB).
Fractional positions:
Er (0.250, 0.250, 0.250)  -0.21
Mg (0.000, 0.000, 0.000)  -0.01
Tm (0.750, 0.750, 0.750)  -0.21
Mn (0.500, 0.500, 0.500)  3.56



Look up the Fermi-level density of states of the fourth one. 5.00 states/eV/cell